No. 1
First-principles (GGA-PBE) data for an optimized crystal structure of PmPb2ClO4, as listed in Alexandria via LeMat-Bulk.

POSCAR file:
```
PmPb2ClO4
1.0
4.0429 0.0000 0.0000
0.0000 4.0429 0.0000
0.0000 0.0000 8.9115
Pm Pb Cl O
1 2 1 4
Direct
0.0000 0.0000 0.0000
0.5000 0.5000 0.2763
0.5000 0.5000 0.7237
0.0000 0.0000 0.5000
0.0000 0.5000 0.1546
0.0000 0.5000 0.8454
0.5000 0.0000 0.1546
0.5000 0.0000 0.8454
```

Magnetization = 0.000 μB/f.u.
ΔE_f (raw) = -1.657 eV per atom
DOS at the Fermi energy = 3.59 states/eV/cell

No. 2
First-principles (GGA-PBE) data for an optimized crystal structure of PmPbClO2, as listed in Alexandria via LeMat-Bulk.

POSCAR file:
```
PmPbClO2
1.0
6.9022 0.0000 0.0000
0.0000 4.0436 0.0000
-2.7212 0.0000 7.9388
Pm Pb Cl O
2 2 2 4
Direct
0.1679 0.2500 0.4210
0.8321 0.7500 0.5790
0.1812 0.2500 0.9260
0.8188 0.7500 0.0740
0.4516 0.7500 0.6607
0.5484 0.2500 0.3393
0.9996 0.2500 0.6216
0.0004 0.7500 0.3784
0.0132 0.2500 0.1313
0.9868 0.7500 0.8687
```

Magnetization = 0.000 μB/f.u.
ΔE_f (raw) = -2.309 eV per atom
DOS at the Fermi energy = 0.00 states/eV/cell

No. 3
First-principles (GGA-PBE) data for an optimized crystal structure of PtPbClO2, as listed in Alexandria via LeMat-Bulk.

POSCAR file:
```
PtPbClO2
1.0
4.0858 0.0000 0.0000
0.0000 4.0858 0.0000
0.0000 0.0000 6.0234
Pt Pb Cl O
1 1 1 2
Direct
0.0000 0.0000 0.0000
0.5000 0.5000 0.5000
0.5000 0.5000 0.0000
0.0000 0.5000 0.5000
0.5000 0.0000 0.5000
```

Magnetization = 0.920 μB/f.u.
ΔE_f (raw) = 0.385 eV per atom
DOS at the Fermi energy = 4.92 states/eV/cell

No. 4
First-principles (GGA-PBE) data for an optimized crystal structure of PuPb3Cl2O6, as listed in Alexandria via LeMat-Bulk.

POSCAR file:
```
PuPb3Cl2O6
1.0
6.4416 -3.4253 0.0000
6.4416 3.4253 0.0000
-0.7313 0.0000 5.5845
Pu Pb Cl O
1 3 2 6
Direct
0.0000 0.0000 0.0000
0.0000 0.5000 0.0000
0.5000 0.0000 0.0000
0.5000 0.5000 0.5000
0.2954 0.2954 0.6183
0.7046 0.7046 0.3817
0.1423 0.1423 0.1798
0.1572 0.7289 0.1919
0.2711 0.8428 0.8081
0.7289 0.1572 0.1919
0.8428 0.2711 0.8081
0.8577 0.8577 0.8202
```

Magnetization = 0.106 μB/f.u.
ΔE_f (raw) = -1.405 eV per atom
DOS at the Fermi energy = 1.98 states/eV/cell

Q: Among the records above, which one has the highest DOS at the Fermi energy?
A: PtPbClO2